4
Lattice="3.056 0.000 0.000 0.000 3.056 0.000 0.000 0.000 6.085" Properties=species:S:1:pos:R:3 comment="ZrTiBe2 | the Alexandria database | PBE | relaxed" mass_density_g_cm3=4.6 dos_at_fermi_per_ev_cell=1.15 final_energy_ev_per_fu=-24.37 e_form_kj_per_mol_fu=-46 pbc="T T T"
Zr 0.000 0.000 0.000
Ti 0.000 0.000 3.042
Be 1.528 1.528 1.707
Be 1.528 1.528 4.377

5
Lattice="4.433 0.000 0.000 0.000 4.433 0.000 0.000 0.000 4.433" Properties=species:S:1:pos:R:3 comment="ZrTiBe3 | the Alexandria database | PBE | relaxed" mass_density_g_cm3=3.2 dos_at_fermi_per_ev_cell=4.67 final_energy_ev_per_fu=-20.02 e_form_kj_per_mol_fu=733 pbc="T T T"
Zr 0.000 0.000 0.000
Ti 2.216 2.216 2.216
Be 0.000 0.000 2.216
Be 0.000 2.216 0.000
Be 2.216 0.000 0.000